No. 1
Below is a geometry-optimized CdCuIr structure, with properties calculated at the PBE level.

Computed properties:
Formation energy   0.2534 eV/atom
ΔE to the lowest computed polymorph   63.8 meV/atom

Geometry as CIF:
```
data_CdCuIr
_chemical_formula_sum 'Cd4 Cu4 Ir4'
_cell_length_a 2.930
_cell_length_b 4.702
_cell_length_c 13.615
_cell_angle_alpha 90.00
_cell_angle_beta 90.00
_cell_angle_gamma 90.00
_space_group_name_H-M_alt 'F m m 2'
_space_group_IT_number 42
_space_group_name_Hall 'F 2 -2'
loop_
_atom_site_label
_atom_site_type_symbol
_atom_site_fract_x
_atom_site_fract_y
_atom_site_fract_z
Cd1 Cd 0.000 0.000 0.000
Cu1 Cu 0.000 0.000 0.332
Ir1 Ir 0.000 0.000 0.677
```

=====

No. 2
Below is a geometry-optimized Cd2Pd2Au structure, with properties calculated at the PBE level.

Computed properties:
Formation energy   -0.2884 eV/atom
ΔE to the lowest computed polymorph   0.0 meV/atom

Geometry as CIF:
```
data_Cd2Pd2Au
_chemical_formula_sum 'Cd2 Pd2 Au1'
_cell_length_a 4.164
_cell_length_b 5.026
_cell_length_c 5.072
_cell_angle_alpha 79.55
_cell_angle_beta 65.78
_cell_angle_gamma 65.76
_space_group_name_H-M_alt 'P -1'
_space_group_IT_number 2
loop_
_space_group_symop_operation_xyz
'x,y,z'
'-x,-y,-z'
loop_
_atom_site_label
_atom_site_type_symbol
_atom_site_fract_x
_atom_site_fract_y
_atom_site_fract_z
Cd1 Cd 0.087 0.115 0.210
Pd1 Pd 0.299 0.296 0.606
Au1 Au 0.500 0.500 0.000
```

=====

No. 3
Below is a geometry-optimized Be2AlBi structure, with properties calculated at the PBE level.

Computed properties:
Formation energy   0.7419 eV/atom
ΔE to the lowest computed polymorph   0.0 meV/atom

Geometry as CIF:
```
data_Be2AlBi
_chemical_formula_sum 'Be8 Al4 Bi4'
_cell_length_a 6.523
_cell_length_b 6.523
_cell_length_c 6.523
_cell_angle_alpha 90.00
_cell_angle_beta 90.00
_cell_angle_gamma 90.00
_space_group_name_H-M_alt 'F m -3 m'
_space_group_IT_number 225
_space_group_name_Hall '-F 4 2 3'
loop_
_atom_site_label
_atom_site_type_symbol
_atom_site_fract_x
_atom_site_fract_y
_atom_site_fract_z
Be1 Be 0.250 0.250 0.250
Al1 Al 0.000 0.000 0.000
Bi1 Bi 0.000 0.000 0.500
```

=====

No. 4
Below is a geometry-optimized Pa2GeS6 structure, with properties calculated at the PBE level.

Computed properties:
Formation energy without anion corrections   -1196 meV per atom
ΔE to the lowest computed polymorph   11.4 meV/atom

Geometry as CIF:
```
data_Pa2GeS6
_chemical_formula_sum 'Pa4 Ge2 S12'
_cell_length_a 6.194
_cell_length_b 6.194
_cell_length_c 12.215
_cell_angle_alpha 90.00
_cell_angle_beta 90.00
_cell_angle_gamma 90.00
_space_group_name_H-M_alt 'P 42/m n m'
_space_group_IT_number 136
_space_group_name_Hall '-P 4n 2n'
loop_
_atom_site_label
_atom_site_type_symbol
_atom_site_fract_x
_atom_site_fract_y
_atom_site_fract_z
Pa1 Pa 0.000 0.000 0.168
Ge1 Ge 0.000 0.000 0.500
S1 S 0.190 0.190 0.000
S2 S 0.194 0.194 0.332
```

=====

No. 5
Below is a geometry-optimized Zn2Ag structure, with properties calculated at the PBE level.

Computed properties:
Formation energy   -0.0444 eV/atom

Geometry as CIF:
```
data_Zn2Ag
_chemical_formula_sum 'Zn8 Ag4'
_cell_length_a 10.230
_cell_length_b 2.874
_cell_length_c 6.658
_cell_angle_alpha 90.00
_cell_angle_beta 104.05
_cell_angle_gamma 90.00
_space_group_name_H-M_alt 'C 1 m 1'
_space_group_IT_number 8
loop_
_space_group_symop_operation_xyz
'x,y,z'
'x,-y,z'
'x+1/2,y+1/2,z'
'x+1/2,-y+1/2,z'
loop_
_atom_site_label
_atom_site_type_symbol
_atom_site_fract_x
_atom_site_fract_y
_atom_site_fract_z
Zn1 Zn 0.000 0.000 0.000
Zn2 Zn 0.058 0.000 0.611
Zn3 Zn 0.220 0.500 0.943
Zn4 Zn 0.388 0.000 0.277
Ag1 Ag 0.163 0.500 0.323
Ag2 Ag 0.338 0.000 0.675
```

=====

No. 6
Below is a geometry-optimized Pm2SI structure, with properties calculated at the PBE level.

Computed properties:
Formation energy without anion corrections   -1446 meV per atom
ΔE to the lowest computed polymorph   2.7 meV/atom

Geometry as CIF:
```
data_Pm2SI
_chemical_formula_sum 'Pm6 S3 I3'
_cell_length_a 4.0181
_cell_length_b 4.0181
_cell_length_c 23.6843
_cell_angle_alpha 90.00
_cell_angle_beta 90.00
_cell_angle_gamma 120.00
_space_group_name_H-M_alt 'R 3 m'
_space_group_IT_number 160
_space_group_name_Hall 'R 3 -2"'
loop_
_atom_site_label
_atom_site_type_symbol
_atom_site_fract_x
_atom_site_fract_y
_atom_site_fract_z
Pm1 Pm 0.0000 0.0000 0.0000
Pm2 Pm 0.0000 0.0000 0.2031
S1 S 0.0000 0.0000 0.6010
I1 I 0.0000 0.0000 0.4337
```

=====

No. 7
Below is a geometry-optimized Ac2AgGe5 structure, with properties calculated at the PBE level.

Computed properties:
Formation energy   -0.3964 eV/atom

Geometry as CIF:
```
data_Ac2AgGe5
_chemical_formula_sum 'Ac4 Ag2 Ge10'
_cell_length_a 6.389
_cell_length_b 6.389
_cell_length_c 9.807
_cell_angle_alpha 90.00
_cell_angle_beta 90.00
_cell_angle_gamma 90.00
_space_group_name_H-M_alt 'I 4 m m'
_space_group_IT_number 107
_space_group_name_Hall 'I 4 -2'
loop_
_atom_site_label
_atom_site_type_symbol
_atom_site_fract_x
_atom_site_fract_y
_atom_site_fract_z
Ac1 Ac 0.000 0.500 0.000
Ag1 Ag 0.000 0.000 0.157
Ge1 Ge 0.000 0.000 0.568
Ge2 Ge 0.216 0.216 0.758
```

=====

No. 8
Below is a geometry-optimized TeRu2 structure, with properties calculated at the PBE level.

Computed properties:
Formation energy without anion corrections   332 meV per atom
ΔE to the lowest computed polymorph   218.0 meV/atom

Geometry as CIF:
```
data_TeRu2
_chemical_formula_sum 'Te4 Ru8'
_cell_length_a 6.033
_cell_length_b 6.033
_cell_length_c 6.033
_cell_angle_alpha 90.00
_cell_angle_beta 90.00
_cell_angle_gamma 90.00
_space_group_name_H-M_alt 'F m -3 m'
_space_group_IT_number 225
_space_group_name_Hall '-F 4 2 3'
loop_
_atom_site_label
_atom_site_type_symbol
_atom_site_fract_x
_atom_site_fract_y
_atom_site_fract_z
Te1 Te 0.000 0.000 0.000
Ru1 Ru 0.250 0.250 0.250
```

=====

What did the first record say?
Below is a geometry-optimized CdCuIr structure, with properties calculated at the PBE level.

Computed properties:
Formation energy   0.2534 eV/atom
ΔE to the lowest computed polymorph   63.8 meV/atom

Geometry as CIF:
```
data_CdCuIr
_chemical_formula_sum 'Cd4 Cu4 Ir4'
_cell_length_a 2.930
_cell_length_b 4.702
_cell_length_c 13.615
_cell_angle_alpha 90.00
_cell_angle_beta 90.00
_cell_angle_gamma 90.00
_space_group_name_H-M_alt 'F m m 2'
_space_group_IT_number 42
_space_group_name_Hall 'F 2 -2'
loop_
_atom_site_label
_atom_site_type_symbol
_atom_site_fract_x
_atom_site_fract_y
_atom_site_fract_z
Cd1 Cd 0.000 0.000 0.000
Cu1 Cu 0.000 0.000 0.332
Ir1 Ir 0.000 0.000 0.677
```

=====

Copy entry 8 word for word.
Below is a geometry-optimized TeRu2 structure, with properties calculated at the PBE level.

Computed properties:
Formation energy without anion corrections   332 meV per atom
ΔE to the lowest computed polymorph   218.0 meV/atom

Geometry as CIF:
```
data_TeRu2
_chemical_formula_sum 'Te4 Ru8'
_cell_length_a 6.033
_cell_length_b 6.033
_cell_length_c 6.033
_cell_angle_alpha 90.00
_cell_angle_beta 90.00
_cell_angle_gamma 90.00
_space_group_name_H-M_alt 'F m -3 m'
_space_group_IT_number 225
_space_group_name_Hall '-F 4 2 3'
loop_
_atom_site_label
_atom_site_type_symbol
_atom_site_fract_x
_atom_site_fract_y
_atom_site_fract_z
Te1 Te 0.000 0.000 0.000
Ru1 Ru 0.250 0.250 0.250
```

=====

Q: What is the formula in the first record?
A: CdCuIr